Density functional theory data (PBE) for a relaxed structure of Hf2Ga2Ag.

Summary:
- raw total energy (eV/atom) = -6.120
- space group = P4/mbm
- Fermi-level density of states (states/eV per atom) = 0.527
- ΔE to the lowest computed polymorph (meV/atom) = 0
- magnetization (Bohr magnetons per cell) = 0.00

```
10
Lattice="6.677 0.000 0.000 0.000 6.677 0.000 0.000 0.000 4.134" Properties=species:S:1:pos:R:3 pbc="T T T"
Hf 1.114 2.225 0.000
Hf 2.225 5.563 0.000
Hf 4.453 1.114 0.000
Hf 5.563 4.453 0.000
Ga 0.894 4.233 2.067
Ga 2.445 0.894 2.067
Ga 4.233 5.783 2.067
Ga 5.783 2.445 2.067
Ag 0.000 0.000 2.067
Ag 3.339 3.339 2.067
```



Density functional theory data (PBE) for a relaxed structure of SrCaLa2.

Summary:
- raw total energy (eV/atom) = -3.257
- space group = P2/m
- Fermi-level density of states (states/eV per atom) = 1.477
- ΔE to the lowest computed polymorph (meV/atom) = 84
- magnetization (Bohr magnetons per cell) = 0.00

```
4
Lattice="3.732 0.000 0.000 0.000 6.445 0.000 -0.964 0.000 6.897" Properties=species:S:1:pos:R:3 pbc="T T T"
Sr 0.000 0.000 0.000
Ca 1.384 0.000 3.448
La 0.225 3.222 5.034
La 2.543 3.222 1.863
```



> Look up the Fermi-level density of states of the first one.

0.527 states/eV per atom